--- i ---
Material: DyAgSb2
Method: DFT, GGA-PBE
State: optimized geometry

The calculation puts the volume at 97 Å³ per cell. As for the density: 8.753 g/cm³. The magnetic moment is 0.00 μB per cell.

The space group is P4/mmm (No. 123) and the conventional cell measures 4.801, 4.801 and 4.230 Å, with angles of 90.00, 90.00 and 90.00 degrees. Symmetry generates all atoms from Dy at (0.000, 0.000, 0.000), Ag at (0.500, 0.500, 0.000) and Sb at (0.000, 0.500, 0.500).



--- ii ---
Material: DyAgSb2
Method: DFT, GGA-PBE
State: optimized geometry

The calculation puts the volume at 197 Å³ per cell. As for the density: 8.679 g/cm³. The magnetic moment is 0.00 μB per cell.

The space group is P4/nmm (No. 129, origin choice 2) and the conventional cell measures 4.357, 4.357 and 10.361 Å, with angles of 90.00, 90.00 and 90.00 degrees. Symmetry generates all atoms from Dy at (0.250, 0.250, 0.235), Ag at (0.250, 0.750, 0.500), Sb at (0.250, 0.250, 0.686) and Sb at (0.250, 0.750, 0.000).



On energetic grounds, ii is preferred over the next structure by 140 meV/atom.



--- i ---
Material: Dy2ScAg
Method: DFT, GGA-PBE
State: optimized geometry

The calculation puts the volume at 319 Å³ per cell. As for the density: 7.462 g/cm³. The magnetic moment is 0.01 μB per cell.

The space group is R3m (No. 160, hexagonal axes) and the conventional cell measures 3.4690, 3.4690 and 30.6091 Å, with angles of 90.00, 90.00 and 120.00 degrees. Symmetry generates all atoms from Dy at (0.0000, 0.0000, 0.0000), Dy at (0.0000, 0.0000, 0.1752), Sc at (0.0000, 0.0000, 0.7544) and Ag at (0.0000, 0.0000, 0.5873).



--- ii ---
Material: Dy2ScAg
Method: DFT, GGA-PBE
State: optimized geometry

The calculation puts the volume at 412 Å³ per cell. As for the density: 7.711 g/cm³. The magnetic moment is 0.00 μB per cell.

The space group is Fm-3m (No. 225) and the conventional cell measures 7.438, 7.438 and 7.438 Å, with angles of 90.00, 90.00 and 90.00 degrees. Symmetry generates all atoms from Dy at (0.250, 0.250, 0.250), Sc at (0.000, 0.000, 0.000) and Ag at (0.000, 0.000, 0.500).



--- iii ---
Material: Dy2ScAg
Method: DFT, GGA-PBE
State: optimized geometry

The calculation puts the volume at 105 Å³ per cell. As for the density: 7.572 g/cm³. The magnetic moment is 0.00 μB per cell.

The space group is P4/mmm (No. 123) and the conventional cell measures 3.519, 3.519 and 8.463 Å, with angles of 90.00, 90.00 and 90.00 degrees. Symmetry generates all atoms from Dy at (0.000, 0.000, 0.229), Sc at (0.500, 0.500, 0.500) and Ag at (0.500, 0.500, 0.000).



On energetic grounds, iii is preferred over the next structure by 112 meV/atom.



--- i ---
Material: Dy2ScAg
Method: DFT, GGA-PBE
State: optimized geometry

The calculation puts the volume at 318 Å³ per cell. As for the density: 7.495 g/cm³. The magnetic moment is 0.00 μB per cell.

The space group is R-3m (No. 166, hexagonal axes) and the conventional cell measures 3.4515, 3.4515 and 30.7845 Å, with angles of 90.00, 90.00 and 120.00 degrees. Symmetry generates all atoms from Dy at (0.0000, 0.0000, 0.2454), Sc at (0.0000, 0.0000, 0.0000) and Ag at (0.0000, 0.0000, 0.5000).



--- ii ---
Material: Dy2ScAg
Method: DFT, GGA-PBE
State: optimized geometry

The calculation puts the volume at 102 Å³ per cell. As for the density: 7.745 g/cm³. The magnetic moment is 0.00 μB per cell.

The space group is P4/mmm (No. 123) and the conventional cell measures 5.297, 5.297 and 3.652 Å, with angles of 90.00, 90.00 and 90.00 degrees. Symmetry generates all atoms from Dy at (0.000, 0.500, 0.000), Sc at (0.000, 0.000, 0.500) and Ag at (0.500, 0.500, 0.500).



On energetic grounds, ii is preferred over the next structure by 47 meV/atom.